This record from Alexandria via LeMat-Bulk describes crystalline Sc2ZnHg2 at its relaxed geometry. The functional is GGA-PBE.

Structure (CIF):
```
data_Sc2ZnHg2
_chemical_formula_sum 'Sc8 Zn4 Hg8'
_space_group_name_H-M_alt 'I b a m'
_space_group_IT_number 72
_space_group_name_Hall '-I 2 2c'
_cell_length_a 5.8404
_cell_length_b 13.4563
_cell_length_c 5.4969
_cell_angle_alpha 90.00
_cell_angle_beta 90.00
_cell_angle_gamma 90.00
loop_
_atom_site_label
_atom_site_fract_x
_atom_site_fract_y
_atom_site_fract_z
_atom_site_occupancy
Sc1 0.1770 0.1733 0.0000 1
Zn1 0.0000 0.0000 0.2500 1
Hg1 0.1585 0.3929 0.0000 1
```

Calculated volume in A^3/atom: 21.60
Uncorrected energy in eV/cell: -62.147
M_tot in μB per formula unit: 0.002
Relative energy among the computed polymorphs in meV per atom: 60
Calculated formation energy in eV per atom: -0.199